#A
Compound: Co2BO
Source: Alexandria via LeMat-Bulk
Functional: GGA+U
Structure: relaxed Values from VASP.

Structure (Quantum ESPRESSO input):
```
&SYSTEM
  ibrav = 0, nat = 4, ntyp = 3
/
ATOMIC_SPECIES
Co 58.93 Co.upf
B 10.81 B.upf
O 16.00 O.upf
ATOMIC_POSITIONS crystal
Co 0.250 0.250 0.250
Co 0.750 0.750 0.750
B 0.000 0.000 0.000
O 0.500 0.500 0.500
CELL_PARAMETERS angstrom
0.000 2.630 2.630
2.630 0.000 2.630
2.630 2.630 0.000
```

* symmetry: Fm-3m



#B
Compound: Co2BO
Source: Alexandria via LeMat-Bulk
Functional: GGA+U
Structure: relaxed Values from VASP.

Structure (Quantum ESPRESSO input):
```
&SYSTEM
  ibrav = 0, nat = 8, ntyp = 3
/
ATOMIC_SPECIES
Co 58.93 Co.upf
B 10.81 B.upf
O 16.00 O.upf
ATOMIC_POSITIONS crystal
Co 0.118 0.625 0.993
Co 0.375 0.368 0.493
Co 0.632 0.125 0.007
Co 0.875 0.882 0.507
B 0.250 0.750 0.500
B 0.500 0.500 0.000
O 0.000 0.000 0.000
O 0.750 0.250 0.500
CELL_PARAMETERS angstrom
-2.265 2.265 4.347
2.265 -2.265 4.347
2.265 2.265 -4.347
```

* symmetry: I-42d



Preferred: #B; penalty for the next structure: 323 meV/atom.



#A
Compound: CoBP2O
Source: Alexandria via LeMat-Bulk
Functional: GGA+U
Structure: relaxed Values from VASP.

Structure (Quantum ESPRESSO input):
```
&SYSTEM
  ibrav = 0, nat = 5, ntyp = 4
/
ATOMIC_SPECIES
Co 58.93 Co.upf
B 10.81 B.upf
P 30.97 P.upf
O 16.00 O.upf
ATOMIC_POSITIONS crystal
Co 0.000 0.000 0.000
B 0.500 0.500 0.500
P 0.000 0.500 0.000
P 0.500 0.000 0.000
O 0.000 0.000 0.500
CELL_PARAMETERS angstrom
4.485 0.000 0.000
0.000 4.485 0.000
0.000 0.000 3.350
```

* symmetry: P4/mmm



#B
Compound: CoBP2O
Source: Alexandria via LeMat-Bulk
Functional: GGA+U
Structure: relaxed Values from VASP.

Structure (Quantum ESPRESSO input):
```
&SYSTEM
  ibrav = 0, nat = 5, ntyp = 4
/
ATOMIC_SPECIES
Co 58.93 Co.upf
B 10.81 B.upf
P 30.97 P.upf
O 16.00 O.upf
ATOMIC_POSITIONS crystal
Co 0.000 0.000 0.000
B 0.500 0.500 0.500
P 0.000 0.500 0.500
P 0.500 0.000 0.500
O 0.500 0.500 0.000
CELL_PARAMETERS angstrom
4.751 0.000 0.000
0.000 4.751 0.000
0.000 0.000 2.725
```

* symmetry: P4/mmm



Preferred: #B; penalty for the next structure: 767 meV/atom.